# ZnSnTeO PBE optimized geometry
# Space-group type: Cmc2_1, No. 36
# Energy above the most stable polymorph in this dataset, eV per atom: 0.017
data_ZnSnTeO
_chemical_formula_sum 'Zn2 Sn2 Te2 O2'
_cell_length_a 7.264
_cell_length_b 7.264
_cell_length_c 6.282
_cell_angle_alpha 90.00
_cell_angle_beta 90.00
_cell_angle_gamma 147.33
_symmetry_space_group_name_H-M 'P 1'
_symmetry_Int_Tables_number 1
_symmetry_space_group_name_Hall 'P 1'
loop_
_atom_site_label
_atom_site_type_symbol
_atom_site_fract_x
_atom_site_fract_y
_atom_site_fract_z
_atom_site_occupancy
Zn1 Zn 0.047 0.953 0.500 1
Zn2 Zn 0.953 0.047 0.000 1
Sn1 Sn 0.343 0.657 0.645 1
Sn2 Sn 0.657 0.343 0.145 1
Te1 Te 0.348 0.652 0.149 1
Te2 Te 0.652 0.348 0.649 1
O1 O 0.069 0.931 0.183 1
O2 O 0.931 0.069 0.683 1

# ZnSnTeO PBE optimized geometry
# Space-group type: P4/nmm, No. 129
# Energy above the most stable polymorph in this dataset, eV per atom: 0.592
data_ZnSnTeO
_chemical_formula_sum 'Zn2 Sn2 Te2 O2'
_cell_length_a 4.469
_cell_length_b 4.469
_cell_length_c 8.598
_cell_angle_alpha 90.00
_cell_angle_beta 90.00
_cell_angle_gamma 90.00
_symmetry_space_group_name_H-M 'P 1'
_symmetry_Int_Tables_number 1
_symmetry_space_group_name_Hall 'P 1'
loop_
_atom_site_label
_atom_site_type_symbol
_atom_site_fract_x
_atom_site_fract_y
_atom_site_fract_z
_atom_site_occupancy
Zn1 Zn 0.250 0.250 0.248 1
Zn2 Zn 0.750 0.750 0.752 1
Sn1 Sn 0.250 0.750 0.500 1
Sn2 Sn 0.750 0.250 0.500 1
Te1 Te 0.250 0.250 0.806 1
Te2 Te 0.750 0.750 0.194 1
O1 O 0.250 0.250 0.028 1
O2 O 0.750 0.750 0.972 1

Which value of energy above the most stable polymorph in this dataset does entry 1 give?
0.017 eV per atom

What did the first record say?
# ZnSnTeO PBE optimized geometry
# Space-group type: Cmc2_1, No. 36
# Energy above the most stable polymorph in this dataset, eV per atom: 0.017
data_ZnSnTeO
_chemical_formula_sum 'Zn2 Sn2 Te2 O2'
_cell_length_a 7.264
_cell_length_b 7.264
_cell_length_c 6.282
_cell_angle_alpha 90.00
_cell_angle_beta 90.00
_cell_angle_gamma 147.33
_symmetry_space_group_name_H-M 'P 1'
_symmetry_Int_Tables_number 1
_symmetry_space_group_name_Hall 'P 1'
loop_
_atom_site_label
_atom_site_type_symbol
_atom_site_fract_x
_atom_site_fract_y
_atom_site_fract_z
_atom_site_occupancy
Zn1 Zn 0.047 0.953 0.500 1
Zn2 Zn 0.953 0.047 0.000 1
Sn1 Sn 0.343 0.657 0.645 1
Sn2 Sn 0.657 0.343 0.145 1
Te1 Te 0.348 0.652 0.149 1
Te2 Te 0.652 0.348 0.649 1
O1 O 0.069 0.931 0.183 1
O2 O 0.931 0.069 0.683 1

Among the records above, which one has the highest energy above the most stable polymorph in this dataset?
number 2

Which value of energy above the most stable polymorph in this dataset does entry 2 give?
0.592 eV per atom